Record 1
DFT (GGA-PBE) results for a relaxed structure of HfZrPa3.

Summary:
formation enthalpy at 0 K: 0.270 eV/atom
SG: Pm
VASP energy: -9.1278 eV/atom

abc: 3.092 7.815 10.371
angles: 88.44 90.00 90.00
Fractional coordinates of all 10 atoms:
1 Hf 0.250 0.090 0.717
2 Hf 0.750 0.292 0.275
3 Pa 0.750 0.374 0.564
4 Pa 0.250 0.000 0.427
5 Pa 0.250 0.644 0.367
6 Pa 0.750 0.728 0.643
7 Pa 0.750 0.944 0.128
8 Pa 0.250 0.781 0.893
9 Zr 0.750 0.359 0.883
10 Zr 0.250 0.546 0.102

Record 2
DFT (GGA-PBE) results for a relaxed structure of Ba2NaMgGe.

Summary:
formation enthalpy at 0 K: -0.145 eV/atom
SG: P4/mmm
VASP energy: -2.4199 eV/atom

abc: 6.613 6.613 5.131
angles: 90.00 90.00 90.00
Fractional coordinates of all 5 atoms:
1 Ba 0.000 0.500 0.000
2 Ba 0.500 0.000 0.000
3 Na 0.500 0.500 0.500
4 Mg 0.000 0.000 0.500
5 Ge 0.000 0.000 0.000

Q: Among the records above, which one has the lowest formation enthalpy at 0 K?
A: Ba2NaMgGe

Q: VASP energy of number 2 (Ba2NaMgGe)?
A: -2.4199 eV/atom